Entry 1:
DFT (PBE) results for a geometry-optimized K4Pm3NpSe8 structure.

Computed properties:
Uncorrected energy   -85.5 eV per cell
Space-group type   R-3m, No. 166
D(E_F)   9.28 states/eV/cell
Size of the total moment   4.00 μB per cell
Calculated density   4.9 g cm⁻³

abc: 8.6304 9.1643 8.6302
angles: 118.10 120.00 90.00
Last column: nearest neighbours and their distance in Å.
Fractional coordinates of all 16 atoms:
K: 0.5000 0.0000 0.0000  6 Se 3.36
K: 0.5000 0.0000 0.5000  6 Se 3.34-3.35
K: 0.0000 0.0000 0.0000  6 Se 3.34-3.35
K: 0.0000 0.0000 0.5000  6 Se 3.34-3.35
Pm: 0.5000 0.5000 0.0000  6 Se 2.97
Pm: 0.5000 0.5000 0.5000  6 Se 2.97
Pm: 0.0000 0.5000 0.5000  6 Se 2.97
Np: 0.0000 0.5000 0.0000  6 Se 2.95
Se: 0.2351 0.7086 0.9736  1 Np 2.95, 2 Pm 2.97
Se: 0.2351 0.7086 0.4703  1 Np 2.95, 2 Pm 2.97
Se: 0.2631 0.2895 0.5263  3 Pm 2.97
Se: 0.7384 0.7086 0.9736  1 Np 2.95, 2 Pm 2.97
Se: 0.2616 0.2914 0.0264  1 Np 2.95, 2 Pm 2.97
Se: 0.7369 0.7105 0.4737  3 Pm 2.97
Se: 0.7649 0.2914 0.5297  1 Np 2.95, 2 Pm 2.97
Se: 0.7649 0.2914 0.0264  1 Np 2.95, 2 Pm 2.97



Entry 2:
DFT (PBE) results for a geometry-optimized PbSeI2 structure.

Computed properties:
Uncorrected energy   -9.8 eV per cell
Space-group type   Fm-3m, No. 225
D(E_F)   2.46 states/eV/cell
Size of the total moment   2.00 μB per cell
Calculated density   6.9 g cm⁻³
Offset from the most stable computed form   3 meV per atom

abc: 5.6877 5.6877 5.6877
angles: 60.00 60.00 60.00
Last column: nearest neighbours and their distance in Å.
Fractional coordinates of all 4 atoms:
Pb: 0.5000 0.5000 0.5000  8 I 3.48
I: 0.2500 0.2500 0.2500  4 Pb 3.48, 4 Se 3.48
I: 0.7500 0.7500 0.7500  4 Pb 3.48, 4 Se 3.48
Se: 0.0000 0.0000 0.0000  8 I 3.48



Entry 3:
DFT (PBE) results for a geometry-optimized BaLaPdAu structure.

Computed properties:
Uncorrected energy   -17.7 eV per cell
Space-group type   F-43m, No. 216
DFT formation energy   -0.590 eV per atom
D(E_F)   4.26 states/eV/cell
Size of the total moment   0.00 μB per cell
Calculated density   8.5 g cm⁻³

abc: 5.4222 5.4222 5.4222
angles: 60.00 60.00 60.00
Last column: nearest neighbours and their distance in Å.
Fractional coordinates of all 4 atoms:
Au: 0.7500 0.7500 0.7500  4 La 3.32, 4 Ba 3.32
Ba: 0.0000 0.0000 0.0000  4 Au 3.32, 4 Pd 3.32
Pd: 0.2500 0.2500 0.2500  4 Ba 3.32, 4 La 3.32
La: 0.5000 0.5000 0.5000  4 Pd 3.32, 4 Au 3.32